# Mn3W

A PBEsol-optimized structure of Mn3W (SCAN, the Alexandria database).

```
Mn3W
1.0
-0.1350 -1.4456 2.2031
-1.4812 -2.5037 -1.7337
4.7484 -2.0700 -1.0673
Mn W
3 1
Direct
0.5000 0.5000 0.5000
0.0000 0.0000 0.7173
0.0000 0.0000 0.2827
0.5000 0.5000 0.0000
```

Calculated volume   11.81 A^3/atom
Final energy   -30.936 eV/atom
Crystal system   orthorhombic
Energy of formation from the pure elements   0.18 eV per atom